1.
First-principles (PBE) data for an optimized crystal structure of LiPa2Cl11, as listed in Alexandria via LeMat-Bulk.

abc: 15.802 11.676 11.676
angles: 52.27 47.41 47.41
Element x y z (fractional)
1 Cl 0.837 0.442 0.558
2 Cl 0.693 0.276 0.990
3 Cl 0.193 0.490 0.776
4 Cl 0.850 0.808 0.449
5 Cl 0.150 0.192 0.551
6 Cl 0.041 0.990 0.276
7 Cl 0.000 0.000 0.000
8 Cl 0.650 0.051 0.692
9 Cl 0.350 0.949 0.308
10 Cl 0.663 0.942 0.058
11 Cl 0.500 0.500 0.500
12 Cl 0.959 0.010 0.724
13 Cl 0.606 0.692 0.051
14 Cl 0.106 0.551 0.192
15 Cl 0.807 0.510 0.224
16 Cl 0.307 0.724 0.010
17 Cl 0.163 0.558 0.442
18 Cl 0.337 0.058 0.942
19 Cl 0.894 0.449 0.808
20 Cl 0.394 0.308 0.949
21 Cl 0.459 0.224 0.510
22 Cl 0.541 0.776 0.490
23 Li 0.250 0.250 0.250
24 Li 0.750 0.750 0.750
25 Pa 0.916 0.233 0.767
26 Pa 0.084 0.767 0.233
27 Pa 0.416 0.267 0.733
28 Pa 0.584 0.733 0.267

Properties
energy relative to the elements, uncorrected: -1815.4 meV/atom
symmetry: Ibam (72)
calculated volume: 39.99 A^3/atom
VASP energy: -0.3498 Ry per atom



2.
First-principles (PBE) data for an optimized crystal structure of La5Tb3Ho, as listed in Alexandria via LeMat-Bulk.

abc: 8.873 10.149 12.830
angles: 135.36 90.00 115.92
Element x y z (fractional)
1 Ho 0.118 0.000 0.250
2 Ho 0.882 0.000 0.750
3 Tb 0.294 0.852 0.361
4 Tb 0.558 0.852 0.861
5 Tb 0.442 0.148 0.139
6 Tb 0.706 0.148 0.639
7 Tb 0.000 0.000 0.500
8 Tb 0.000 0.000 0.000
9 La 0.784 0.422 0.032
10 La 0.466 0.536 0.186
11 La 0.534 0.464 0.814
12 La 0.216 0.578 0.968
13 La 0.362 0.578 0.468
14 La 0.288 0.000 0.750
15 La 0.930 0.464 0.314
16 La 0.638 0.422 0.532
17 La 0.712 0.000 0.250
18 La 0.070 0.536 0.686

Properties
symmetry: C2/c (15)
calculated volume: 35.31 A^3/atom
VASP energy: -0.3411 Ry per atom
energy relative to the elements: 148 meV per atom



3.
First-principles (PBE) data for an optimized crystal structure of Nd5BeTe4, as listed in Alexandria via LeMat-Bulk.

abc: 6.295 7.700 7.700
angles: 80.38 65.87 65.87
Element x y z (fractional)
1 Nd 0.906 0.373 0.818
2 Nd 0.096 0.627 0.182
3 Nd 0.501 0.000 0.000
4 Nd 0.724 0.182 0.373
5 Nd 0.278 0.818 0.627
6 Te 0.196 0.214 0.396
7 Te 0.806 0.786 0.604
8 Te 0.410 0.396 0.786
9 Te 0.592 0.604 0.214
10 Be 0.002 0.000 0.000

Properties
energy relative to the elements, uncorrected: -1113.4 meV/atom
symmetry: I4 (79)
calculated volume: 31.08 A^3/atom
VASP energy: -0.3768 Ry per atom



4.
First-principles (PBE) data for an optimized crystal structure of CaCuSb, as listed in Alexandria via LeMat-Bulk.

abc: 8.889 4.457 4.457
angles: 120.00 75.47 104.51
Element x y z (fractional)
1 Sb 0.464 0.446 0.890
2 Sb 0.982 0.619 0.717
3 Ca 0.221 0.031 0.304
4 Ca 0.730 0.868 0.468
5 Cu 0.964 0.280 0.057
6 Cu 0.395 0.756 0.579

Properties
energy relative to the elements, uncorrected: -602.3 meV/atom
symmetry: R3m (160)
calculated volume: 24.40 A^3/atom
VASP energy: -0.2947 Ry per atom



5.
First-principles (PBE) data for an optimized crystal structure of TiNb2Rh3, as listed in Alexandria via LeMat-Bulk.

abc: 4.091 6.478 7.488
angles: 90.00 90.00 71.59
Element x y z (fractional)
1 Ti 0.668 0.663 0.000
2 Ti 0.332 0.337 0.000
3 Rh 0.833 0.335 0.765
4 Rh 0.500 0.000 0.238
5 Rh 0.167 0.665 0.235
6 Rh 0.167 0.665 0.765
7 Rh 0.500 0.000 0.762
8 Rh 0.833 0.335 0.235
9 Nb 0.000 0.000 0.000
10 Nb 0.333 0.333 0.500
11 Nb 0.667 0.667 0.500
12 Nb 0.000 0.000 0.500

Properties
symmetry: Cmmm (65)
calculated volume: 15.69 A^3/atom
VASP energy: -0.6518 Ry per atom
energy relative to the elements: -520 meV per atom



6.
First-principles (PBE) data for an optimized crystal structure of Hf3Re2Hg, as listed in Alexandria via LeMat-Bulk.

abc: 3.314 3.314 10.372
angles: 90.00 90.00 90.00
Element x y z (fractional)
1 Re 0.500 0.500 0.838
2 Re 0.500 0.500 0.162
3 Hf 0.000 0.000 0.000
4 Hf 0.000 0.000 0.306
5 Hf 0.000 0.000 0.694
6 Hg 0.500 0.500 0.500

Properties
symmetry: P4/mmm (123)
calculated volume: 18.98 A^3/atom
VASP energy: -0.6974 Ry per atom
energy relative to the elements: -312 meV per atom



7.
First-principles (PBE) data for an optimized crystal structure of Ac4Mg3Sn, as listed in Alexandria via LeMat-Bulk.

abc: 4.114 4.114 16.471
angles: 90.00 90.00 90.00
Element x y z (fractional)
1 Ac 0.000 0.000 0.375
2 Ac 0.000 0.000 0.877
3 Ac 0.000 0.000 0.625
4 Ac 0.000 0.000 0.123
5 Mg 0.500 0.500 0.747
6 Mg 0.500 0.500 0.253
7 Mg 0.500 0.500 0.500
8 Sn 0.500 0.500 0.000

Properties
symmetry: P4/mmm (123)
calculated volume: 34.84 A^3/atom
VASP energy: -0.2471 Ry per atom
energy relative to the elements: -209 meV per atom



8.
First-principles (PBE) data for an optimized crystal structure of SrLuHgPd, as listed in Alexandria via LeMat-Bulk.

abc: 5.219 5.219 5.219
angles: 60.00 60.00 60.00
Element x y z (fractional)
1 Pd 0.000 0.000 0.000
2 Hg 0.500 0.500 0.500
3 Sr 0.750 0.750 0.750
4 Lu 0.250 0.250 0.250

Properties
symmetry: F-43m (216)
calculated volume: 25.13 A^3/atom
VASP energy: -0.2506 Ry per atom
energy relative to the elements: -485 meV per atom



9.
First-principles (PBE) data for an optimized crystal structure of ScAlCl2, as listed in Alexandria via LeMat-Bulk.

abc: 5.223 5.223 5.223
angles: 129.86 129.86 73.63
Element x y z (fractional)
1 Cl 0.500 0.500 0.000
2 Cl 0.000 0.000 0.000
3 Al 0.750 0.250 0.500
4 Sc 0.250 0.750 0.500

Properties
energy relative to the elements, uncorrected: -548.6 meV/atom
symmetry: I4/mmm (139)
calculated volume: 20.48 A^3/atom
VASP energy: -0.2933 Ry per atom



10.
First-principles (PBE) data for an optimized crystal structure of PmNdY4, as listed in Alexandria via LeMat-Bulk.

abc: 6.263 6.263 12.217
angles: 104.81 104.81 59.98
Element x y z (fractional)
1 Y 0.334 0.833 0.000
2 Y 0.250 0.417 0.750
3 Y 0.417 0.250 0.250
4 Y 0.833 0.334 0.500
5 Y 0.167 0.666 0.500
6 Y 0.583 0.750 0.750
7 Y 0.750 0.583 0.250
8 Y 0.666 0.167 0.000
9 Pm 0.082 0.918 0.250
10 Pm 0.918 0.082 0.750
11 Nd 0.500 0.000 0.500
12 Nd 0.000 0.500 0.000

Properties
symmetry: C2/c (15)
calculated volume: 33.03 A^3/atom
VASP energy: -0.4330 Ry per atom
energy relative to the elements: 4 meV per atom



11.
First-principles (PBE) data for an optimized crystal structure of LaZr4Mn, as listed in Alexandria via LeMat-Bulk.

abc: 5.956 5.956 5.956
angles: 60.00 60.00 60.00
Element x y z (fractional)
1 Zr 0.875 0.375 0.375
2 Zr 0.375 0.375 0.375
3 Zr 0.375 0.375 0.875
4 Zr 0.375 0.875 0.375
5 Mn 0.000 0.000 0.000
6 La 0.750 0.750 0.750

Properties
symmetry: F-43m (216)
calculated volume: 24.90 A^3/atom
VASP energy: -0.5564 Ry per atom
energy relative to the elements: 478 meV per atom



12.
First-principles (PBE) data for an optimized crystal structure of ReNi2I2, as listed in Alexandria via LeMat-Bulk.

abc: 3.370 3.370 8.247
angles: 78.21 78.21 90.00
Element x y z (fractional)
1 I 0.388 0.388 0.224
2 I 0.612 0.612 0.776
3 Ni 0.750 0.250 0.500
4 Ni 0.250 0.750 0.500
5 Re 0.000 0.000 0.000

Properties
energy relative to the elements, uncorrected: 1145.3 meV/atom
symmetry: I4/mmm (139)
calculated volume: 17.93 A^3/atom
VASP energy: -0.3143 Ry per atom



13.
First-principles (PBE) data for an optimized crystal structure of BaAlF2, as listed in Alexandria via LeMat-Bulk.

abc: 5.270 5.270 5.270
angles: 49.57 49.57 49.57
Element x y z (fractional)
1 F 0.212 0.212 0.212
2 F 0.788 0.788 0.788
3 Al 0.500 0.500 0.500
4 Ba 0.000 0.000 0.000

Properties
energy relative to the elements, uncorrected: -1990.7 meV/atom
symmetry: R-3m (166)
calculated volume: 19.49 A^3/atom
VASP energy: -0.3192 Ry per atom



14.
First-principles (PBE) data for an optimized crystal structure of Tb4PmNdS8, as listed in Alexandria via LeMat-Bulk.

abc: 8.142 8.142 8.182
angles: 60.16 60.16 60.00
Element x y z (fractional)
1 Tb 0.502 0.999 0.499
2 Tb 0.626 0.626 0.123
3 Tb 0.999 0.502 0.499
4 Tb 0.999 0.999 0.499
5 Nd 0.374 0.374 0.878
6 S 0.753 0.231 0.263
7 S 0.239 0.239 0.284
8 S 0.244 0.779 0.733
9 S 0.231 0.753 0.263
10 S 0.758 0.758 0.727
11 S 0.244 0.244 0.733
12 S 0.753 0.753 0.263
13 S 0.779 0.244 0.733
14 Pm 0.999 0.999 0.002

Properties
energy relative to the elements, uncorrected: -1927.9 meV/atom
symmetry: R3m (160)
calculated volume: 27.46 A^3/atom
VASP energy: -0.4622 Ry per atom



15.
First-principles (PBE) data for an optimized crystal structure of Cs2CrBr6Cl, as listed in Alexandria via LeMat-Bulk.

abc: 7.747 7.747 8.103
angles: 61.44 61.44 90.00
Element x y z (fractional)
1 Cl 0.500 0.500 0.000
2 Br 0.206 0.206 0.587
3 Br 0.230 0.770 0.000
4 Br 0.770 0.230 0.000
5 Br 0.230 0.230 0.000
6 Br 0.770 0.770 0.000
7 Br 0.794 0.794 0.413
8 Cr 0.000 0.000 0.000
9 Cs 0.250 0.750 0.500
10 Cs 0.750 0.250 0.500

Properties
energy relative to the elements, uncorrected: -929.2 meV/atom
symmetry: I4/mmm (139)
calculated volume: 35.83 A^3/atom
VASP energy: -0.2389 Ry per atom



16.
First-principles (PBE) data for an optimized crystal structure of K4ZrU3S8, as listed in Alexandria via LeMat-Bulk.

abc: 7.929 8.761 7.929
angles: 116.91 120.00 90.00
Element x y z (fractional)
1 K 0.500 0.000 0.000
2 K 0.000 0.000 0.000
3 K 0.500 0.000 0.500
4 K 0.000 0.000 0.500
5 Zr 0.000 0.500 0.000
6 S 0.229 0.703 0.458
7 S 0.736 0.708 0.472
8 S 0.255 0.297 0.026
9 S 0.771 0.297 0.542
10 S 0.229 0.703 0.974
11 S 0.771 0.297 0.026
12 S 0.264 0.292 0.528
13 S 0.745 0.703 0.974
14 U 0.500 0.500 0.000
15 U 0.500 0.500 0.500
16 U 0.000 0.500 0.500

Properties
energy relative to the elements, uncorrected: -1408.4 meV/atom
symmetry: R-3m (166)
calculated volume: 25.41 A^3/atom
VASP energy: -0.4702 Ry per atom



17.
First-principles (PBE) data for an optimized crystal structure of Pa2Si4GeIr3, as listed in Alexandria via LeMat-Bulk.

abc: 4.231 4.231 9.616
angles: 90.00 90.00 90.00
Element x y z (fractional)
1 Si 0.000 0.500 0.365
2 Si 0.500 0.500 0.000
3 Si 0.500 0.000 0.635
4 Si 0.000 0.000 0.000
5 Ir 0.000 0.500 0.124
6 Ir 0.000 0.000 0.500
7 Ir 0.500 0.000 0.876
8 Pa 0.000 0.500 0.753
9 Pa 0.500 0.000 0.247
10 Ge 0.500 0.500 0.500

Properties
energy relative to the elements, uncorrected: -776.1 meV/atom
symmetry: P-4m2 (115)
calculated volume: 17.21 A^3/atom
VASP energy: -0.5854 Ry per atom



18.
First-principles (PBE) data for an optimized crystal structure of Ce3Ti5O12, as listed in Alexandria via LeMat-Bulk.

abc: 11.106 11.106 11.106
angles: 109.47 109.47 109.47
Element x y z (fractional)
1 O 0.182 0.085 0.703
2 O 0.022 0.618 0.703
3 O 0.682 0.478 0.596
4 O 0.797 0.478 0.382
5 O 0.182 0.096 0.978
6 O 0.618 0.596 0.915
7 O 0.703 0.585 0.182
8 O 0.318 0.797 0.415
9 O 0.382 0.978 0.797
10 O 0.022 0.404 0.818
11 O 0.703 0.118 0.022
12 O 0.882 0.297 0.478
13 O 0.915 0.818 0.797
14 O 0.585 0.882 0.404
15 O 0.085 0.904 0.382
16 O 0.085 0.182 0.203
17 O 0.618 0.022 0.203
18 O 0.915 0.096 0.618
19 O 0.415 0.297 0.318
20 O 0.118 0.415 0.096
21 O 0.522 0.318 0.904
22 O 0.818 0.904 0.022
23 O 0.904 0.818 0.522
24 O 0.522 0.203 0.118
25 O 0.596 0.978 0.682
26 O 0.404 0.022 0.318
27 O 0.596 0.618 0.415
28 O 0.682 0.203 0.585
29 O 0.096 0.915 0.118
30 O 0.297 0.882 0.978
31 O 0.478 0.682 0.096
32 O 0.203 0.682 0.085
33 O 0.978 0.596 0.182
34 O 0.882 0.585 0.904
35 O 0.904 0.085 0.882
36 O 0.382 0.404 0.085
37 O 0.297 0.415 0.818
38 O 0.203 0.522 0.618
39 O 0.478 0.797 0.882
40 O 0.318 0.522 0.404
41 O 0.585 0.703 0.682
42 O 0.096 0.182 0.478
43 O 0.978 0.382 0.297
44 O 0.415 0.118 0.596
45 O 0.797 0.318 0.915
46 O 0.818 0.915 0.297
47 O 0.404 0.382 0.585
48 O 0.118 0.703 0.522
49 Ti 0.625 0.875 0.250
50 Ti 0.625 0.750 0.875
51 Ti 0.125 0.750 0.375
52 Ti 0.500 0.000 0.500
53 Ti 0.250 0.875 0.125
54 Ti 0.375 0.125 0.750
55 Ti 0.750 0.125 0.875
56 Ti 0.875 0.625 0.750
57 Ti 0.000 0.500 0.000
58 Ti 0.500 0.500 0.000
59 Ti 0.750 0.625 0.375
60 Ti 0.250 0.375 0.625
61 Ti 0.125 0.375 0.250
62 Ti 0.000 0.000 0.500
63 Ti 0.000 0.500 0.500
64 Ti 0.500 0.500 0.500
65 Ti 0.500 0.000 0.000
66 Ti 0.875 0.250 0.625
67 Ti 0.375 0.250 0.125
68 Ti 0.000 0.000 0.000
69 Ce 0.625 0.375 0.750
70 Ce 0.375 0.625 0.250
71 Ce 0.125 0.250 0.875
72 Ce 0.125 0.875 0.750
73 Ce 0.625 0.250 0.375
74 Ce 0.250 0.625 0.875
75 Ce 0.875 0.750 0.125
76 Ce 0.375 0.750 0.625
77 Ce 0.750 0.375 0.125
78 Ce 0.250 0.125 0.375
79 Ce 0.750 0.875 0.625
80 Ce 0.875 0.125 0.250

Properties
energy relative to the elements, uncorrected: -3025.0 meV/atom
symmetry: Ia-3d (230)
calculated volume: 13.18 A^3/atom
VASP energy: -0.6515 Ry per atom



19.
First-principles (PBE) data for an optimized crystal structure of Pm4PrSc, as listed in Alexandria via LeMat-Bulk.

abc: 4.730 4.730 10.337
angles: 90.00 90.00 90.03
Element x y z (fractional)
1 Sc 0.500 0.500 0.500
2 Pm 0.000 0.500 0.731
3 Pm 0.000 0.500 0.269
4 Pm 0.500 0.000 0.731
5 Pm 0.500 0.000 0.269
6 Pr 0.000 0.000 0.000

Properties
symmetry: P4/mmm (123)
calculated volume: 38.54 A^3/atom
VASP energy: -0.3214 Ry per atom
energy relative to the elements: 646 meV per atom